Run A
Density functional theory data (PBE-GGA) for an optimized crystal structure of HgCl5.

Unit cell a=7.480 b=7.480 c=3.464 alpha=90.00 beta=90.00 gamma=120.00
Fractional coordinates of all 6 atoms:
Hg 0.000 0.000 0.000
Cl 0.000 0.500 0.500
Cl 0.333 0.667 0.000
Cl 0.500 0.000 0.500
Cl 0.500 0.500 0.500
Cl 0.667 0.333 0.000



Run B
Density functional theory data (PBE-GGA) for an optimized crystal structure of HgCl5.

Unit cell a=7.865 b=6.211 c=6.211 alpha=35.25 beta=90.00 gamma=90.00
Fractional coordinates of all 6 atoms:
Hg 0.000 0.000 0.000
Cl 0.000 0.355 0.355
Cl 0.000 0.645 0.645
Cl 0.500 0.121 0.121
Cl 0.500 0.452 0.452
Cl 0.500 0.786 0.786



Stability ranking, top and bottom: run B is the most stable and run A is the least stable.



Run A
Density functional theory data (PBE-GGA) for an optimized crystal structure of Hg3Cl5.

Unit cell a=7.560 b=7.560 c=3.864 alpha=90.00 beta=90.00 gamma=112.02
Fractional coordinates of all 8 atoms:
Hg 0.000 0.000 0.000
Hg 0.330 0.670 0.500
Hg 0.670 0.330 0.500
Cl 0.000 0.500 0.000
Cl 0.197 0.197 0.500
Cl 0.500 0.000 0.000
Cl 0.500 0.500 0.000
Cl 0.803 0.803 0.500



Run B
Density functional theory data (PBE-GGA) for an optimized crystal structure of Hg3Cl5.

Unit cell a=6.958 b=7.609 c=10.447 alpha=101.53 beta=95.44 gamma=92.48
Fractional coordinates of all 16 atoms:
Hg 0.000 0.000 0.000
Hg 0.001 0.501 0.500
Hg 0.467 0.833 0.442
Hg 0.470 0.695 0.897
Hg 0.531 0.305 0.104
Hg 0.537 0.169 0.558
Cl 0.091 0.234 0.560
Cl 0.210 0.778 0.765
Cl 0.269 0.348 0.955
Cl 0.270 0.956 0.139
Cl 0.364 0.527 0.338
Cl 0.640 0.476 0.663
Cl 0.730 0.045 0.861
Cl 0.732 0.653 0.045
Cl 0.790 0.222 0.236
Cl 0.912 0.767 0.439



Stability ranking, top and bottom: run B is the most stable and run A is the least stable.